# 1
A geometry-optimized Ac2PrAg3 structure. Source: Alexandria, functional PBE.

Geometry as POSCAR:
```
Ac2PrAg3
1.0
3.9027 0.0000 0.0000
0.0000 3.9027 0.0000
0.0000 0.0000 11.7055
Ac Pr Ag
2 1 3
Direct
0.0000 0.0000 0.1712
0.0000 0.0000 0.8288
0.0000 0.0000 0.5000
0.5000 0.5000 0.0000
0.5000 0.5000 0.3495
0.5000 0.5000 0.6505
```

Properties
D(E_F) = 4.08 states/eV/f.u.
Size of the total moment = 0.00 μB per atom
Formation energy from the elements = -0.25 eV/atom



# 2
A geometry-optimized ZrAsAuI2 structure. Source: Alexandria, functional PBE.

Geometry as POSCAR:
```
ZrAsAuI2
1.0
5.6839 0.0000 0.0000
0.0000 5.6839 0.0000
0.0000 0.0000 5.2836
Zr As Au I
1 1 1 2
Direct
0.0000 0.0000 0.0000
0.0000 0.0000 0.5000
0.5000 0.5000 0.5000
0.0000 0.5000 0.0000
0.5000 0.0000 0.0000
```

Properties
Uncorrected formation energy = 0.211 eV/atom
D(E_F) = 4.37 states/eV/f.u.
Size of the total moment = 0.00 μB per atom



# 3
A geometry-optimized OsRu2 structure. Source: Alexandria, functional PBE.

Geometry as POSCAR:
```
OsRu2
1.0
5.0271 0.0000 0.0000
-2.5136 4.3536 0.0000
0.0000 0.0000 8.0721
Os Ru
4 8
Direct
0.3333 0.6667 0.0849
0.3333 0.6667 0.4151
0.6667 0.3333 0.5849
0.6667 0.3333 0.9151
0.0000 0.0000 0.0000
0.0000 0.0000 0.5000
0.1729 0.3458 0.7500
0.1729 0.8271 0.7500
0.3458 0.1729 0.2500
0.6542 0.8271 0.7500
0.8271 0.1729 0.2500
0.8271 0.6542 0.2500
```

Properties
ΔE to the lowest computed polymorph = 603 meV per atom
D(E_F) = 3.79 states/eV/f.u.
Size of the total moment = 0.00 μB per atom
Formation energy from the elements = 0.59 eV/atom



# 4
A geometry-optimized Th4Te2AuC structure. Source: Alexandria, functional PBE.

Geometry as POSCAR:
```
Th4Te2AuC
1.0
7.4665 0.0000 0.0000
0.0000 4.0400 0.0000
-2.2888 0.0000 7.4312
Th Te Au C
4 2 1 1
Direct
0.2017 0.0000 0.1946
0.2286 0.5000 0.7949
0.7714 0.5000 0.2051
0.7983 0.0000 0.8054
0.0000 0.0000 0.5000
0.5000 0.5000 0.5000
0.5000 0.0000 0.0000
0.0000 0.5000 0.0000
```

Properties
Uncorrected formation energy = -0.748 eV/atom
D(E_F) = 6.39 states/eV/f.u.
Size of the total moment = 0.00 μB per atom



# 5
A geometry-optimized NpPa2Sn structure. Source: Alexandria, functional PBE.

Geometry as POSCAR:
```
NpPa2Sn
1.0
4.6542 0.0000 0.0000
0.0000 4.6542 0.0000
0.0000 0.0000 4.4735
Np Pa Sn
1 2 1
Direct
0.0000 0.0000 0.0000
0.0000 0.5000 0.5000
0.5000 0.0000 0.5000
0.5000 0.5000 0.0000
```

Properties
ΔE to the lowest computed polymorph = 0 meV per atom
D(E_F) = 11.94 states/eV/f.u.
Size of the total moment = 1.03 μB per atom
Formation energy from the elements = -0.05 eV/atom



# 6
A geometry-optimized Li3TbSn2 structure. Source: Alexandria, functional PBE.

Geometry as POSCAR:
```
Li3TbSn2
1.0
6.9902 -2.3237 0.0000
6.9902 2.3237 0.0000
-4.2048 0.0000 7.8876
Li Tb Sn
6 2 4
Direct
0.0515 0.0515 0.3816
0.2801 0.2801 0.4606
0.4046 0.4046 0.3156
0.5954 0.5954 0.6844
0.7199 0.7199 0.5394
0.9485 0.9485 0.6184
0.1398 0.1398 0.0213
0.8602 0.8602 0.9787
0.2124 0.2124 0.7280
0.4546 0.4546 0.8099
0.5454 0.5454 0.1901
0.7876 0.7876 0.2720
```

Properties
D(E_F) = 2.56 states/eV/f.u.
Size of the total moment = 0.00 μB per atom
Formation energy from the elements = -0.47 eV/atom



# 7
A geometry-optimized PuPaFeMo structure. Source: Alexandria, functional PBE.

Geometry as POSCAR:
```
PuPaFeMo
1.0
0.0000 3.3860 3.3860
3.3860 0.0000 3.3860
3.3860 3.3860 0.0000
Pu Pa Fe Mo
1 1 1 1
Direct
0.0000 0.0000 0.0000
0.5000 0.5000 0.5000
0.2500 0.2500 0.2500
0.7500 0.7500 0.7500
```

Properties
D(E_F) = 7.43 states/eV/f.u.
Size of the total moment = 0.79 μB per atom
Formation energy from the elements = 0.19 eV/atom



# 8
A geometry-optimized CaY2Ga2 structure. Source: Alexandria, functional PBE.

Geometry as POSCAR:
```
CaY2Ga2
1.0
-2.6501 2.6501 5.4972
2.6501 -2.6501 5.4972
2.6501 2.6501 -5.4972
Ca Y Ga
1 2 2
Direct
0.0000 0.0000 0.0000
0.3410 0.3410 0.0000
0.6590 0.6590 0.0000
0.2500 0.7500 0.5000
0.7500 0.2500 0.5000
```

Properties
ΔE to the lowest computed polymorph = 358 meV per atom
D(E_F) = 3.51 states/eV/f.u.
Size of the total moment = 0.18 μB per atom
Formation energy from the elements = -0.13 eV/atom